Record 1
Below is crystalline Mg4SnBi at its relaxed geometry, with properties calculated at the GGA-PBE level.

Output
The calculation puts the calculated formation energy at -0.128 eV/atom. The calculation puts the density of states at the Fermi level at 2.11 states/eV per cell. Its total DFT energy (no corrections) is -2.5047 eV per atom. The value obtained for the excess energy over the best structure of this formula in the dataset is 0 kJ/mol of formula units. Its space group is P-1, No. 2.

a b c (Å): 4.842 4.850 7.204
angles (deg): 87.28 86.81 88.99
Fractional coordinates of all 6 atoms:
Mg1 0.012 0.488 0.233
Mg2 0.487 0.010 0.235
Mg3 0.513 0.990 0.765
Mg4 0.988 0.512 0.767
Sn1 0.000 0.000 0.000
Bi1 0.500 0.500 0.500

Record 2
Below is crystalline Mg3Sn12Bi5 at its relaxed geometry, with properties calculated at the GGA-PBE level.

Output
The calculation puts the calculated formation energy at 0.143 eV/atom. The calculation puts the density of states at the Fermi level at 38.70 states/eV per cell. Its total DFT energy (no corrections) is -3.4685 eV per atom. Its space group is Ia-3d, No. 230.

a b c (Å): 15.311 15.311 15.311
angles (deg): 109.47 109.47 109.47
Fractional coordinates of all 80 atoms:
Mg1 0.125 0.250 0.375
Mg2 0.125 0.375 0.750
Mg3 0.250 0.375 0.125
Mg4 0.250 0.875 0.625
Mg5 0.375 0.125 0.250
Mg6 0.375 0.750 0.125
Mg7 0.625 0.250 0.875
Mg8 0.625 0.875 0.750
Mg9 0.750 0.125 0.375
Mg10 0.750 0.625 0.875
Mg11 0.875 0.625 0.250
Mg12 0.875 0.750 0.625
Sn1 0.064 0.638 0.396
Sn2 0.064 0.927 0.669
Sn3 0.073 0.242 0.138
Sn4 0.073 0.331 0.936
Sn5 0.104 0.742 0.669
Sn6 0.104 0.862 0.436
Sn7 0.138 0.073 0.242
Sn8 0.138 0.564 0.896
Sn9 0.169 0.242 0.604
Sn10 0.169 0.427 0.564
Sn11 0.242 0.138 0.073
Sn12 0.242 0.604 0.169
Sn13 0.258 0.331 0.896
Sn14 0.258 0.427 0.362
Sn15 0.331 0.896 0.258
Sn16 0.331 0.936 0.073
Sn17 0.362 0.258 0.427
Sn18 0.362 0.604 0.936
Sn19 0.396 0.064 0.638
Sn20 0.396 0.831 0.758
Sn21 0.427 0.362 0.258
Sn22 0.427 0.564 0.169
Sn23 0.436 0.104 0.862
Sn24 0.436 0.831 0.573
Sn25 0.564 0.169 0.427
Sn26 0.564 0.896 0.138
Sn27 0.573 0.436 0.831
Sn28 0.573 0.638 0.742
Sn29 0.604 0.169 0.242
Sn30 0.604 0.936 0.362
Sn31 0.638 0.396 0.064
Sn32 0.638 0.742 0.573
Sn33 0.669 0.064 0.927
Sn34 0.669 0.104 0.742
Sn35 0.742 0.573 0.638
Sn36 0.742 0.669 0.104
Sn37 0.758 0.396 0.831
Sn38 0.758 0.862 0.927
Sn39 0.831 0.573 0.436
Sn40 0.831 0.758 0.396
Sn41 0.862 0.436 0.104
Sn42 0.862 0.927 0.758
Sn43 0.896 0.138 0.564
Sn44 0.896 0.258 0.331
Sn45 0.927 0.669 0.064
Sn46 0.927 0.758 0.862
Sn47 0.936 0.073 0.331
Sn48 0.936 0.362 0.604
Bi1 0.000 0.000 0.000
Bi2 0.000 0.000 0.500
Bi3 0.000 0.500 0.000
Bi4 0.000 0.500 0.500
Bi5 0.125 0.750 0.875
Bi6 0.125 0.875 0.250
Bi7 0.250 0.125 0.875
Bi8 0.250 0.625 0.375
Bi9 0.375 0.250 0.625
Bi10 0.375 0.625 0.750
Bi11 0.500 0.000 0.000
Bi12 0.500 0.000 0.500
Bi13 0.500 0.500 0.000
Bi14 0.500 0.500 0.500
Bi15 0.625 0.375 0.250
Bi16 0.625 0.750 0.375
Bi17 0.750 0.375 0.625
Bi18 0.750 0.875 0.125
Bi19 0.875 0.125 0.750
Bi20 0.875 0.250 0.125

Record 3
Below is crystalline MgSn2Bi at its relaxed geometry, with properties calculated at the GGA-PBE level.

Output
The calculation puts the calculated formation energy at -0.033 eV/atom. The calculation puts the density of states at the Fermi level at 3.54 states/eV per cell. Its total DFT energy (no corrections) is -3.4031 eV per atom. Its space group is P2_1/m, No. 11.

a b c (Å): 4.588 4.364 11.166
angles (deg): 90.00 90.43 90.00
Fractional coordinates of all 8 atoms:
Mg1 0.081 0.250 0.372
Mg2 0.919 0.750 0.628
Sn1 0.079 0.250 0.868
Sn2 0.415 0.250 0.120
Sn3 0.585 0.750 0.880
Sn4 0.921 0.750 0.132
Bi1 0.401 0.250 0.622
Bi2 0.599 0.750 0.378

Record 4
Below is crystalline MgSn2Bi at its relaxed geometry, with properties calculated at the GGA-PBE level.

Output
The calculation puts the calculated formation energy at 0.059 eV/atom. The calculation puts the density of states at the Fermi level at 8.90 states/eV per cell. Its total DFT energy (no corrections) is -3.3115 eV per atom. Its space group is Fm-3m, No. 225.

a b c (Å): 7.632 7.632 7.632
angles (deg): 90.00 90.00 90.00
Fractional coordinates of all 16 atoms:
Mg1 0.000 0.000 0.000
Mg2 0.000 0.500 0.500
Mg3 0.500 0.000 0.500
Mg4 0.500 0.500 0.000
Sn1 0.250 0.250 0.250
Sn2 0.250 0.250 0.750
Sn3 0.250 0.750 0.250
Sn4 0.250 0.750 0.750
Sn5 0.750 0.250 0.250
Sn6 0.750 0.250 0.750
Sn7 0.750 0.750 0.250
Sn8 0.750 0.750 0.750
Bi1 0.000 0.000 0.500
Bi2 0.000 0.500 0.000
Bi3 0.500 0.000 0.000
Bi4 0.500 0.500 0.500

Record 5
Below is crystalline MgSn2Bi2 at its relaxed geometry, with properties calculated at the GGA-PBE level.

Output
The calculation puts the calculated formation energy at 0.103 eV/atom. The calculation puts the density of states at the Fermi level at 6.36 states/eV per cell. Its total DFT energy (no corrections) is -3.3697 eV per atom. The value obtained for the excess energy over the best structure of this formula in the dataset is 0 kJ/mol of formula units. Its space group is I4/mmm, No. 139.

a b c (Å): 4.194 4.194 17.493
angles (deg): 90.00 90.00 90.00
Fractional coordinates of all 10 atoms:
Mg1 0.000 0.000 0.000
Mg2 0.500 0.500 0.500
Sn1 0.000 0.500 0.250
Sn2 0.000 0.500 0.750
Sn3 0.500 0.000 0.250
Sn4 0.500 0.000 0.750
Bi1 0.000 0.000 0.409
Bi2 0.000 0.000 0.591
Bi3 0.500 0.500 0.091
Bi4 0.500 0.500 0.909

Record 6
Below is crystalline Mg8Sn4Bi at its relaxed geometry, with properties calculated at the GGA-PBE level.

Output
The calculation puts the calculated formation energy at -0.093 eV/atom. The calculation puts the density of states at the Fermi level at 5.81 states/eV per cell. Its total DFT energy (no corrections) is -2.6048 eV per atom. Its space group is Pm-3m, No. 221.

a b c (Å): 7.024 7.024 7.024
angles (deg): 90.00 90.00 90.00
Fractional coordinates of all 13 atoms:
Mg1 0.240 0.240 0.240
Mg2 0.240 0.240 0.760
Mg3 0.240 0.760 0.240
Mg4 0.240 0.760 0.760
Mg5 0.760 0.240 0.240
Mg6 0.760 0.240 0.760
Mg7 0.760 0.760 0.240
Mg8 0.760 0.760 0.760
Sn1 0.000 0.000 0.000
Sn2 0.000 0.500 0.500
Sn3 0.500 0.000 0.500
Sn4 0.500 0.500 0.000
Bi1 0.500 0.500 0.500

Record 7
Below is crystalline Mg6Sn3Bi at its relaxed geometry, with properties calculated at the GGA-PBE level.

Output
The calculation puts the calculated formation energy at -0.106 eV/atom. The calculation puts the density of states at the Fermi level at 8.10 states/eV per cell. Its total DFT energy (no corrections) is -2.6514 eV per atom. Its space group is Cmc2_1, No. 36.

a b c (Å): 9.072 9.072 7.327
angles (deg): 90.00 90.00 116.38
Fractional coordinates of all 20 atoms:
Mg1 0.040 0.960 0.500
Mg2 0.080 0.492 0.998
Mg3 0.268 0.732 0.341
Mg4 0.296 0.331 0.380
Mg5 0.331 0.296 0.880
Mg6 0.492 0.080 0.498
Mg7 0.508 0.920 0.998
Mg8 0.669 0.704 0.380
Mg9 0.704 0.669 0.880
Mg10 0.732 0.268 0.841
Mg11 0.920 0.508 0.498
Mg12 0.960 0.040 0.000
Sn1 0.041 0.273 0.661
Sn2 0.273 0.041 0.161
Sn3 0.414 0.586 0.111
Sn4 0.586 0.414 0.611
Sn5 0.727 0.959 0.661
Sn6 0.959 0.727 0.161
Bi1 0.201 0.799 0.720
Bi2 0.799 0.201 0.220

Record 8
Below is crystalline Mg6Sn2Bi at its relaxed geometry, with properties calculated at the GGA-PBE level.

Output
The calculation puts the calculated formation energy at -0.049 eV/atom. The calculation puts the density of states at the Fermi level at 6.87 states/eV per cell. Its total DFT energy (no corrections) is -2.4332 eV per atom. Its space group is P2_1/c, No. 14.

a b c (Å): 7.667 6.740 10.998
angles (deg): 90.00 124.39 90.00
Fractional coordinates of all 18 atoms:
Mg1 0.034 0.181 0.221
Mg2 0.034 0.319 0.721
Mg3 0.281 0.147 0.045
Mg4 0.281 0.353 0.545
Mg5 0.443 0.694 0.066
Mg6 0.443 0.806 0.566
Mg7 0.557 0.194 0.434
Mg8 0.557 0.306 0.934
Mg9 0.719 0.647 0.455
Mg10 0.719 0.853 0.955
Mg11 0.966 0.681 0.279
Mg12 0.966 0.819 0.779
Sn1 0.292 0.659 0.745
Sn2 0.292 0.841 0.245
Sn3 0.708 0.159 0.755
Sn4 0.708 0.341 0.255
Bi1 0.000 0.000 0.500
Bi2 0.000 0.500 0.000

Record 9
Below is crystalline MgSn3Bi at its relaxed geometry, with properties calculated at the GGA-PBE level.

Output
The calculation puts the calculated formation energy at 0.400 eV/atom. The calculation puts the density of states at the Fermi level at 3.22 states/eV per cell. Its total DFT energy (no corrections) is -3.0972 eV per atom. The value obtained for the excess energy over the best structure of this formula in the dataset is 0 kJ/mol of formula units. Its space group is Pm-3m, No. 221.

a b c (Å): 5.410 5.410 5.410
angles (deg): 90.00 90.00 90.00
Fractional coordinates of all 5 atoms:
Mg1 0.000 0.000 0.000
Sn1 0.000 0.000 0.500
Sn2 0.000 0.500 0.000
Sn3 0.500 0.000 0.000
Bi1 0.500 0.500 0.500

Record 10
Below is crystalline Mg4SnBi at its relaxed geometry, with properties calculated at the GGA-PBE level.

Output
The calculation puts the calculated formation energy at 0.010 eV/atom. The calculation puts the density of states at the Fermi level at 2.21 states/eV per cell. Its total DFT energy (no corrections) is -2.3668 eV per atom. The value obtained for the excess energy over the best structure of this formula in the dataset is 80 kJ/mol of formula units. Its space group is F-43m, No. 216.

a b c (Å): 5.955 5.955 5.955
angles (deg): 60.00 60.00 60.00
Fractional coordinates of all 6 atoms:
Mg1 0.125 0.125 0.125
Mg2 0.125 0.125 0.625
Mg3 0.125 0.625 0.125
Mg4 0.625 0.125 0.125
Sn1 0.750 0.750 0.750
Bi1 0.500 0.500 0.500

Record 11
Below is crystalline Mg2SnBi at its relaxed geometry, with properties calculated at the GGA-PBE level.

Output
The calculation puts the calculated formation energy at -0.088 eV/atom. The calculation puts the density of states at the Fermi level at 2.55 states/eV per cell. Its total DFT energy (no corrections) is -2.8564 eV per atom. The value obtained for the excess energy over the best structure of this formula in the dataset is 4 kJ/mol of formula units. Its space group is P4/mmm, No. 123.

a b c (Å): 3.910 3.910 6.717
angles (deg): 90.00 90.00 90.00
Fractional coordinates of all 4 atoms:
Mg1 0.000 0.000 0.240
Mg2 0.000 0.000 0.760
Sn1 0.500 0.500 0.000
Bi1 0.500 0.500 0.500

Record 12
Below is crystalline MgSn2Bi2 at its relaxed geometry, with properties calculated at the GGA-PBE level.

Output
The calculation puts the calculated formation energy at 0.120 eV/atom. The calculation puts the density of states at the Fermi level at 5.74 states/eV per cell. Its total DFT energy (no corrections) is -3.3525 eV per atom. The value obtained for the excess energy over the best structure of this formula in the dataset is 8 kJ/mol of formula units. Its space group is P4/mbm, No. 127.

a b c (Å): 8.621 8.621 4.068
angles (deg): 90.00 90.00 90.00
Fractional coordinates of all 10 atoms:
Mg1 0.000 0.000 0.000
Mg2 0.500 0.500 0.000
Sn1 0.141 0.359 0.000
Sn2 0.359 0.859 0.000
Sn3 0.641 0.141 0.000
Sn4 0.859 0.641 0.000
Bi1 0.156 0.656 0.500
Bi2 0.344 0.156 0.500
Bi3 0.656 0.844 0.500
Bi4 0.844 0.344 0.500